Compound: ErH2
Source: the Alexandria database
Functional: PBE
Structure: relaxed

Lattice parameters (Å, degrees): 3.5197 3.5197 6.2789 90.00 90.00 120.00
Closest atoms and distances in Å follow each position.
Element x y z (fractional)
Er 0.3333 0.6667 0.2500  8 H 2.17-2.25
Er 0.6667 0.3333 0.7500  8 H 2.17-2.25
H 0.3333 0.6667 0.5952  1 H 1.94, 1 Er 2.17
H 0.3333 0.6667 0.9048  1 H 1.94, 1 Er 2.17
H 0.6667 0.3333 0.0952  1 H 1.94, 1 Er 2.17
H 0.6667 0.3333 0.4048  1 H 1.94, 1 Er 2.17

## Properties
The total magnetic moment is 0.00 μB/atom. The total energy comes out at -4.263 eV/atom. The symmetry is P6_3/mmc, No. 194.